This record from Alexandria describes crystalline Y2MgPd4 at its relaxed geometry. The functional is GGA-PBE.

a b c (Å): 4.6191 4.6191 7.4308
angles (deg): 94.32 94.32 66.75
Fractional coordinates of all 7 atoms:
Y 0.2008 0.2008 0.2957
Y 0.7992 0.7992 0.7043
Mg 0.5000 0.5000 0.0000
Pd 0.1522 0.1522 0.8930
Pd 0.4146 0.4146 0.6464
Pd 0.5854 0.5854 0.3536
Pd 0.8478 0.8478 0.1070

Calculated values
ΔH_f (0 K) = -482 kJ/mol of formula units

=====

This record from Alexandria describes crystalline YMg2Pd5 at its relaxed geometry. The functional is GGA-PBE.

a b c (Å): 8.1494 8.1494 8.1494
angles (deg): 149.98 149.98 42.97
Fractional coordinates of all 8 atoms:
Y 0.0000 0.0000 0.0000
Mg 0.2518 0.2518 0.0000
Mg 0.7482 0.7482 0.0000
Pd 0.1358 0.6358 0.5000
Pd 0.3642 0.8642 0.5000
Pd 0.5000 0.5000 0.0000
Pd 0.6358 0.1358 0.5000
Pd 0.8642 0.3642 0.5000

Calculated values
ΔH_f (0 K) = -597 kJ/mol of formula units

=====

This record from Alexandria describes crystalline YMg2Pd3 at its relaxed geometry. The functional is GGA-PBE.

a b c (Å): 3.3145 3.3145 9.8877
angles (deg): 90.00 90.00 90.00
Fractional coordinates of all 6 atoms:
Y 0.0000 0.0000 0.0000
Mg 0.0000 0.0000 0.3442
Mg 0.0000 0.0000 0.6558
Pd 0.5000 0.5000 0.1881
Pd 0.5000 0.5000 0.5000
Pd 0.5000 0.5000 0.8119

Calculated values
ΔH_f (0 K) = -439 kJ/mol of formula units

=====

Q: Which value of ΔH_f (0 K) does entry 2 give?
A: -597 kJ/mol of formula units

=====

Please write out number 1 again, unchanged.
This record from Alexandria describes crystalline Y2MgPd4 at its relaxed geometry. The functional is GGA-PBE.

a b c (Å): 4.6191 4.6191 7.4308
angles (deg): 94.32 94.32 66.75
Fractional coordinates of all 7 atoms:
Y 0.2008 0.2008 0.2957
Y 0.7992 0.7992 0.7043
Mg 0.5000 0.5000 0.0000
Pd 0.1522 0.1522 0.8930
Pd 0.4146 0.4146 0.6464
Pd 0.5854 0.5854 0.3536
Pd 0.8478 0.8478 0.1070

Calculated values
ΔH_f (0 K) = -482 kJ/mol of formula units